Computed, not measured: Li2CaPt at its PBEsol-relaxed geometry at the meta-GGA SCAN level of DFT.

Summary:
DFT formation energy   -2.09 eV per formula unit
Magnetization   0.00 μB per formula unit
Uncorrected energy   -21.683 eV per atom

Cell lengths 5.2537, 5.2537, 4.4255 Å; angles 114.77, 114.77, 41.73 degrees
Sites, in units of the cell vectors:
Li1 0.2251 0.2251 0.2247
Li2 0.7749 0.7749 0.7753
Ca1 0.0000 0.0000 0.5000
Pt1 0.5000 0.5000 0.0000

Computed, not measured: LiCaPt at its PBEsol-relaxed geometry at the meta-GGA SCAN level of DFT.

Summary:
DFT formation energy   -1.47 eV per formula unit
Magnetization   0.00 μB per formula unit
Uncorrected energy   -27.906 eV per atom

Cell lengths 4.3520, 4.3520, 4.3520 Å; angles 60.00, 60.00, 60.00 degrees
Sites, in units of the cell vectors:
Li1 0.0000 0.0000 0.0000
Ca1 0.7500 0.7500 0.7500
Pt1 0.2500 0.2500 0.2500

Computed, not measured: Li2CaPt at its PBEsol-relaxed geometry at the meta-GGA SCAN level of DFT.

Summary:
DFT formation energy   -2.08 eV per formula unit
Magnetization   0.00 μB per formula unit
Uncorrected energy   -21.680 eV per atom

Cell lengths 4.7191, 4.7191, 4.7191 Å; angles 120.43, 119.74, 89.85 degrees
Sites, in units of the cell vectors:
Li1 0.0000 0.0000 0.0000
Li2 0.7522 0.2522 0.5000
Ca1 0.4974 0.4974 0.0000
Pt1 0.2444 0.7444 0.5000

Computed, not measured: Li2CaPt at its PBEsol-relaxed geometry at the meta-GGA SCAN level of DFT.

Summary:
DFT formation energy   -1.67 eV per formula unit
Magnetization   0.00 μB per formula unit
Uncorrected energy   -21.575 eV per atom

Cell lengths 3.1339, 4.6768, 5.0738 Å; angles 90.00, 95.98, 90.00 degrees
Sites, in units of the cell vectors:
Li1 0.2247 0.0000 0.3084
Li2 0.7753 0.0000 0.6916
Ca1 0.5000 0.5000 0.0000
Pt1 0.0000 0.5000 0.5000

Computed, not measured: Li2CaPt at its PBEsol-relaxed geometry at the meta-GGA SCAN level of DFT.

Summary:
DFT formation energy   0.29 eV per formula unit
Magnetization   0.04 μB per formula unit
Uncorrected energy   -21.087 eV per atom

Cell lengths 9.9571, 9.9571, 9.9571 Å; angles 17.74, 17.74, 17.74 degrees
Sites, in units of the cell vectors:
Li1 0.2301 0.2301 0.2301
Li2 0.7699 0.7699 0.7699
Ca1 0.0000 0.0000 0.0000
Pt1 0.5000 0.5000 0.5000

Computed, not measured: RbLi3Ca at its PBEsol-relaxed geometry at the meta-GGA SCAN level of DFT.

Summary:
DFT formation energy   2.84 eV per formula unit
Magnetization   0.02 μB per formula unit
Uncorrected energy   -6.947 eV per atom

Cell lengths 5.6560, 5.6560, 5.6560 Å; angles 90.00, 90.00, 90.00 degrees
Sites, in units of the cell vectors:
Rb1 0.0000 0.0000 0.0000
Li1 0.0000 0.0000 0.5000
Li2 0.0000 0.5000 0.0000
Li3 0.5000 0.0000 0.0000
Ca1 0.5000 0.5000 0.5000

Computed, not measured: LiCaRe2 at its PBEsol-relaxed geometry at the meta-GGA SCAN level of DFT.

Summary:
DFT formation energy   1.36 eV per formula unit
Magnetization   0.00 μB per formula unit
Uncorrected energy   -38.221 eV per atom

Cell lengths 2.7315, 4.3233, 5.9856 Å; angles 90.00, 98.57, 90.00 degrees
Sites, in units of the cell vectors:
Li1 0.0000 0.0000 0.0000
Ca1 0.2754 0.5000 0.7176
Re1 0.5364 0.0000 0.4010
Re2 0.7904 0.5000 0.2464

Computed, not measured: LiCaRe at its PBEsol-relaxed geometry at the meta-GGA SCAN level of DFT.

Summary:
DFT formation energy   2.08 eV per formula unit
Magnetization   0.00 μB per formula unit
Uncorrected energy   -27.022 eV per atom

Cell lengths 5.2841, 5.2841, 5.2841 Å; angles 151.86, 128.97, 59.29 degrees
Sites, in units of the cell vectors:
Li1 0.0000 0.0000 0.0000
Ca1 0.3134 0.3134 0.0000
Re1 0.6397 0.6397 0.0000

Computed, not measured: LiCaRe2 at its PBEsol-relaxed geometry at the meta-GGA SCAN level of DFT.

Summary:
DFT formation energy   2.31 eV per formula unit
Magnetization   0.00 μB per formula unit
Uncorrected energy   -37.983 eV per atom

Cell lengths 2.6017, 2.6017, 9.5053 Å; angles 90.00, 90.00, 90.00 degrees
Sites, in units of the cell vectors:
Li1 0.0000 0.0000 0.0000
Ca1 0.0000 0.0000 0.5000
Re1 0.5000 0.5000 0.2334
Re2 0.5000 0.5000 0.7666

Computed, not measured: Li3CaRe at its PBEsol-relaxed geometry at the meta-GGA SCAN level of DFT.

Summary:
DFT formation energy   4.91 eV per formula unit
Magnetization   2.37 μB per formula unit
Uncorrected energy   -16.604 eV per atom

Cell lengths 4.8228, 4.8228, 4.8228 Å; angles 90.00, 90.00, 90.00 degrees
Sites, in units of the cell vectors:
Li1 0.0000 0.0000 0.5000
Li2 0.0000 0.5000 0.0000
Li3 0.5000 0.0000 0.0000
Ca1 0.5000 0.5000 0.5000
Re1 0.0000 0.0000 0.0000

Computed, not measured: LiCaRe at its PBEsol-relaxed geometry at the meta-GGA SCAN level of DFT.

Summary:
DFT formation energy   5.23 eV per formula unit
Magnetization   2.55 μB per formula unit
Uncorrected energy   -25.975 eV per atom

Cell lengths 4.6561, 4.6561, 4.6561 Å; angles 60.00, 60.00, 60.00 degrees
Sites, in units of the cell vectors:
Li1 0.0000 0.0000 0.0000
Ca1 0.2500 0.2500 0.2500
Re1 0.5000 0.5000 0.5000

Computed, not measured: LiCa2Re at its PBEsol-relaxed geometry at the meta-GGA SCAN level of DFT.

Summary:
DFT formation energy   2.38 eV per formula unit
Magnetization   0.00 μB per formula unit
Uncorrected energy   -22.608 eV per atom

Cell lengths 5.7590, 5.7590, 5.5038 Å; angles 103.94, 103.94, 29.22 degrees
Sites, in units of the cell vectors:
Li1 0.0000 0.0000 0.0000
Ca1 0.5734 0.5734 0.5664
Ca2 0.7756 0.7756 0.1754
Re1 0.3204 0.3204 0.6948

Computed, not measured: LiCaRh3 at its PBEsol-relaxed geometry at the meta-GGA SCAN level of DFT.

Summary:
DFT formation energy   1.17 eV per formula unit
Magnetization   0.00 μB per formula unit
Uncorrected energy   -22.440 eV per atom

Cell lengths 4.2424, 4.2424, 4.2424 Å; angles 90.00, 90.00, 90.00 degrees
Sites, in units of the cell vectors:
Li1 0.0000 0.0000 0.0000
Ca1 0.5000 0.5000 0.5000
Rh1 0.0000 0.0000 0.5000
Rh2 0.0000 0.5000 0.0000
Rh3 0.5000 0.0000 0.0000

Computed, not measured: LiCa4Rh at its PBEsol-relaxed geometry at the meta-GGA SCAN level of DFT.

Summary:
DFT formation energy   4.15 eV per formula unit
Magnetization   0.00 μB per formula unit
Uncorrected energy   -11.777 eV per atom

Cell lengths 6.3350, 6.3350, 6.3350 Å; angles 60.00, 60.00, 60.00 degrees
Sites, in units of the cell vectors:
Li1 0.0000 0.0000 0.0000
Ca1 0.1286 0.6238 0.6238
Ca2 0.6238 0.1286 0.6238
Ca3 0.6238 0.6238 0.1286
Ca4 0.6238 0.6238 0.6238
Rh1 0.2500 0.2500 0.2500

Computed, not measured: LiCaRu at its PBEsol-relaxed geometry at the meta-GGA SCAN level of DFT.

Summary:
DFT formation energy   2.30 eV per formula unit
Magnetization   1.07 μB per formula unit
Uncorrected energy   -14.859 eV per atom

Cell lengths 4.3665, 4.3665, 4.3665 Å; angles 60.00, 60.00, 60.00 degrees
Sites, in units of the cell vectors:
Li1 0.0000 0.0000 0.0000
Ca1 0.7500 0.7500 0.7500
Ru1 0.2500 0.2500 0.2500